Record 1
InHgAs2: PBEsol geometry, SCAN.

a b c (Å): 3.640 3.640 7.262
angles (deg): 90.00 90.00 90.00
Fractional positions:
In  0.000  0.000  0.000
Hg  0.000  0.000  0.500
As  0.500  0.500  0.178
As  0.500  0.500  0.822

Record 2
In2HgAs: PBEsol geometry, SCAN.

For the energy above the most stable polymorph in this dataset, the calculation gives 260.5 meV per atom.

a b c (Å): 5.312 5.312 5.312
angles (deg): 126.99 126.99 78.26
Fractional positions:
In  0.000  0.000  0.000
In  0.750  0.250  0.500
Hg  0.250  0.750  0.500
As  0.500  0.500  0.000

Record 3
KInHgAs2: PBEsol geometry, SCAN.

a b c (Å): 5.215 5.215 5.746
angles (deg): 90.00 90.00 90.00
Fractional positions:
K  0.000  0.000  0.000
In  0.500  0.500  0.000
Hg  0.000  0.000  0.500
As  0.000  0.500  0.500
As  0.500  0.000  0.500

Record 4
Hg2AsIr: PBEsol geometry, SCAN.

a b c (Å): 5.323 3.087 5.847
angles (deg): 90.00 116.92 90.00
Fractional positions:
Hg  0.000  0.000  0.000
Hg  0.299  0.500  0.599
As  0.605  0.000  0.210
Ir  0.775  0.500  0.549

Record 5
MgHgAs2Ir: PBEsol geometry, SCAN.

a b c (Å): 4.956 4.956 4.850
angles (deg): 90.00 90.00 90.00
Fractional positions:
Mg  0.000  0.000  0.000
Hg  0.000  0.000  0.500
As  0.000  0.500  0.500
As  0.500  0.000  0.500
Ir  0.500  0.500  0.000

Record 6
HgAsIr2Pt: PBEsol geometry, SCAN.

a b c (Å): 4.875 4.875 4.717
angles (deg): 90.00 90.00 90.00
Fractional positions:
Hg  0.000  0.000  0.000
As  0.000  0.000  0.500
Ir  0.000  0.500  0.000
Ir  0.500  0.000  0.000
Pt  0.500  0.500  0.500

Record 7
YHgAs2Ir: PBEsol geometry, SCAN.

a b c (Å): 5.178 5.178 5.350
angles (deg): 90.00 90.00 90.00
Fractional positions:
Y  0.000  0.000  0.000
Hg  0.000  0.000  0.500
As  0.000  0.500  0.000
As  0.500  0.000  0.000
Ir  0.500  0.500  0.500

Record 8
ZrHgAsIr2: PBEsol geometry, SCAN.

a b c (Å): 4.851 4.851 5.060
angles (deg): 90.00 90.00 90.00
Fractional positions:
Zr  0.000  0.000  0.000
Hg  0.000  0.000  0.500
As  0.500  0.500  0.000
Ir  0.000  0.500  0.500
Ir  0.500  0.000  0.500

| no. | ΔE_f (eV/atom) |
| --- | --- |
| 1 | 0.22 |
| 2 | 0.19 |
| 3 | 0.36 |
| 4 | 0.11 |
| 5 | 1.48 |
| 6 | 2.49 |
| 7 | 1.39 |
| 8 | 1.85 |